Record 1
First-principles (PBE-GGA) data for crystalline PrNi4P2 at its relaxed geometry, as listed in Alexandria.

The structure in CIF format:
```
data_PrNi4P2
_space_group_name_H-M_alt 'P 42/m n m'
_space_group_IT_number 136
_space_group_name_Hall '-P 4n 2n'
_cell_length_a 7.2575
_cell_length_b 7.2575
_cell_length_c 3.6355
_cell_angle_alpha 90.00
_cell_angle_beta 90.00
_cell_angle_gamma 90.00
loop_
_atom_site_label
_atom_site_fract_x
_atom_site_fract_y
_atom_site_fract_z
Pr1 0.0000 0.0000 0.0000
Ni1 0.0869 0.3404 0.5000
P1 0.2214 0.7786 0.5000
```

Summary:
- Total magnetization: 0.000 μB per atom
- Formation energy from the elements: -0.74 eV per atom
- Mass density: 7590 kg/m³

Record 2
First-principles (PBE-GGA) data for crystalline Na2MnAs at its relaxed geometry, as listed in Alexandria.

The structure in CIF format:
```
data_Na2MnAs
_space_group_name_H-M_alt 'I -4 2 d'
_space_group_IT_number 122
_space_group_name_Hall 'I -4 2bw'
_cell_length_a 10.6495
_cell_length_b 10.6495
_cell_length_c 4.7274
_cell_angle_alpha 90.00
_cell_angle_beta 90.00
_cell_angle_gamma 90.00
loop_
_atom_site_label
_atom_site_fract_x
_atom_site_fract_y
_atom_site_fract_z
Na1 0.0842 0.2500 0.1250
Mn1 0.0000 0.0000 0.5000
As1 0.0000 0.0000 0.0000
```

Summary:
- Total magnetization: 1.000 μB per atom
- Formation energy from the elements: 0.08 eV per atom
- Mass density: 2178 kg/m³

Record 3
First-principles (PBE-GGA) data for crystalline Ac4Cd3Pb at its relaxed geometry, as listed in Alexandria.

The structure in CIF format:
```
data_Ac4Cd3Pb
_space_group_name_H-M_alt 'P 4/m m m'
_space_group_IT_number 123
_space_group_name_Hall '-P 4 2'
_cell_length_a 4.0589
_cell_length_b 4.0589
_cell_length_c 16.7232
_cell_angle_alpha 90.00
_cell_angle_beta 90.00
_cell_angle_gamma 90.00
loop_
_atom_site_label
_atom_site_fract_x
_atom_site_fract_y
_atom_site_fract_z
Ac1 0.0000 0.0000 0.1215
Ac2 0.0000 0.0000 0.3694
Cd1 0.5000 0.5000 0.0000
Cd2 0.5000 0.5000 0.2431
Pb1 0.5000 0.5000 0.5000
```

Summary:
- Relative energy among the computed polymorphs: 0.00 eV/f.u.
- Total magnetization: 0.000 μB per atom
- Formation energy from the elements: -0.34 eV per atom
- Mass density: 8754 kg/m³

Record 4
First-principles (PBE-GGA) data for crystalline Cs12Cd3Ag5 at its relaxed geometry, as listed in Alexandria.

The structure in CIF format:
```
data_Cs12Cd3Ag5
_space_group_name_H-M_alt 'I a -3 d'
_space_group_IT_number 230
_space_group_name_Hall '-I 4bd 2c 3'
_cell_length_a 22.6529
_cell_length_b 22.6529
_cell_length_c 22.6529
_cell_angle_alpha 90.00
_cell_angle_beta 90.00
_cell_angle_gamma 90.00
loop_
_atom_site_label
_atom_site_fract_x
_atom_site_fract_y
_atom_site_fract_z
Cs1 0.0232 0.0662 0.6502
Cd1 0.0000 0.2500 0.1250
Ag1 0.0000 0.0000 0.0000
Ag2 0.0000 0.2500 0.3750
```

Summary:
- Total magnetization: 0.056 μB per atom
- Formation energy from the elements: 0.13 eV per atom
- Mass density: 2824 kg/m³

Record 5
First-principles (PBE-GGA) data for crystalline CaTcMo4 at its relaxed geometry, as listed in Alexandria.

The structure in CIF format:
```
data_CaTcMo4
_space_group_name_H-M_alt 'F -4 3 m'
_space_group_IT_number 216
_space_group_name_Hall 'F -4 2 3'
_cell_length_a 7.5208
_cell_length_b 7.5208
_cell_length_c 7.5208
_cell_angle_alpha 90.00
_cell_angle_beta 90.00
_cell_angle_gamma 90.00
loop_
_atom_site_label
_atom_site_fract_x
_atom_site_fract_y
_atom_site_fract_z
Ca1 0.0000 0.0000 0.0000
Tc1 0.2500 0.2500 0.2500
Mo1 0.1247 0.1247 0.6247
```

Summary:
- Total magnetization: 0.000 μB per atom
- Formation energy from the elements: 0.44 eV per atom
- Mass density: 8148 kg/m³

Record 6
First-principles (PBE-GGA) data for crystalline La3NdSe6 at its relaxed geometry, as listed in Alexandria.

The structure in CIF format:
```
data_La3NdSe6
_space_group_name_H-M_alt 'C 1 2/m 1'
_space_group_IT_number 12
_cell_length_a 13.4408
_cell_length_b 7.8422
_cell_length_c 7.5063
_cell_angle_alpha 90.00
_cell_angle_beta 123.20
_cell_angle_gamma 90.00
loop_
_space_group_symop_operation_xyz
'x,y,z'
'-x,-y,-z'
'-x,y,-z'
'x,-y,z'
'x+1/2,y+1/2,z'
'-x+1/2,-y+1/2,-z'
'-x+1/2,y+1/2,-z'
'x+1/2,-y+1/2,z'
loop_
_atom_site_label
_atom_site_fract_x
_atom_site_fract_y
_atom_site_fract_z
La1 0.0000 0.0000 0.0000
La2 0.2499 0.0000 0.6977
Nd1 0.0000 0.5000 0.5000
Se1 0.0916 0.2501 0.3436
Se2 0.2467 0.5000 0.9072
```

Summary:
- Relative energy among the computed polymorphs: 1.17 eV/f.u.
- Total magnetization: 0.000 μB per atom
- Mass density: 5191 kg/m³
- ΔE_f (raw): -1.85 eV per atom

Q: Which of these has the lowest mass density?
A: Na2MnAs